## i
The following is a PBE-GGA calculation of a relaxed structure of TbEuIn2, from Alexandria.

Its density of states at the Fermi level is 2.10 states/eV per atom. The symmetry is No. 123.

Lattice parameters (Å, degrees): 3.858 3.858 7.721 90.00 90.00 90.00
Fractional coordinates of all 4 atoms:
Eu 0.500 0.500 0.500
In 0.000 0.000 0.767
In 0.000 0.000 0.233
Tb 0.500 0.500 0.000

## ii
The following is a PBE-GGA calculation of a relaxed structure of TbEuIn2, from Alexandria.

Its density of states at the Fermi level is 2.22 states/eV per atom. The symmetry is No. 225.

Lattice parameters (Å, degrees): 5.450 5.450 5.450 60.00 60.00 60.00
Fractional coordinates of all 4 atoms:
Eu 0.000 0.000 0.000
Tb 0.500 0.500 0.500
In 0.250 0.250 0.250
In 0.750 0.750 0.750

## iii
The following is a PBE-GGA calculation of a relaxed structure of TbEuIn2, from Alexandria.

Its density of states at the Fermi level is 1.97 states/eV per atom. The symmetry is No. 166.

Lattice parameters (Å, degrees): 3.736 3.736 10.351 79.60 79.60 60.00
Fractional coordinates of all 4 atoms:
In 0.247 0.247 0.258
In 0.753 0.753 0.742
Tb 0.500 0.500 0.500
Eu 0.000 0.000 0.000

Of them, iii has the lowest stability.

## i
The following is a PBE-GGA calculation of a relaxed structure of EuTh2In, from Alexandria.

Its density of states at the Fermi level is 1.10 states/eV per atom. The symmetry is No. 166.

Lattice parameters (Å, degrees): 3.435 3.435 12.707 82.23 82.23 60.00
Fractional coordinates of all 4 atoms:
Th 0.908 0.908 0.277
Th 0.092 0.092 0.723
In 0.500 0.500 0.500
Eu 0.000 0.000 0.000

## ii
The following is a PBE-GGA calculation of a relaxed structure of EuTh2In, from Alexandria.

Its density of states at the Fermi level is 1.43 states/eV per atom. The symmetry is No. 123.

Lattice parameters (Å, degrees): 4.215 4.215 7.088 90.00 90.00 90.00
Fractional coordinates of all 4 atoms:
In 0.500 0.500 0.000
Th 0.000 0.000 0.776
Th 0.000 0.000 0.224
Eu 0.500 0.500 0.500

Of them, i has the lowest stability.

## i
The following is a PBE-GGA calculation of a relaxed structure of EuTiIn2, from Alexandria.

Its density of states at the Fermi level is 0.91 states/eV per atom. The symmetry is No. 166.

Lattice parameters (Å, degrees): 3.352 3.352 10.409 80.73 80.73 60.00
Fractional coordinates of all 4 atoms:
In 0.259 0.259 0.224
In 0.741 0.741 0.776
Ti 0.000 0.000 0.000
Eu 0.500 0.500 0.500

## ii
The following is a PBE-GGA calculation of a relaxed structure of EuTiIn2, from Alexandria.

Its density of states at the Fermi level is 0.81 states/eV per atom. The symmetry is No. 123.

Lattice parameters (Å, degrees): 3.258 3.258 8.912 90.00 90.00 90.00
Fractional coordinates of all 4 atoms:
In 0.000 0.000 0.218
In 0.000 0.000 0.782
Eu 0.500 0.500 0.500
Ti 0.500 0.500 0.000

Of them, i has the lowest stability.

## i
The following is a PBE-GGA calculation of a relaxed structure of EuTlIn2, from Alexandria.

Its density of states at the Fermi level is 0.44 states/eV per atom. The symmetry is No. 123.

Lattice parameters (Å, degrees): 3.935 3.935 7.553 90.00 90.00 90.00
Fractional coordinates of all 4 atoms:
Eu 0.500 0.500 0.500
In 0.000 0.000 0.227
In 0.000 0.000 0.773
Tl 0.500 0.500 0.000

## ii
The following is a PBE-GGA calculation of a relaxed structure of EuTlIn2, from Alexandria.

Its density of states at the Fermi level is 0.86 states/eV per atom. The symmetry is No. 225.

Lattice parameters (Å, degrees): 5.487 5.487 5.487 60.00 60.00 60.00
Fractional coordinates of all 4 atoms:
Eu 0.000 0.000 0.000
In 0.750 0.750 0.750
In 0.250 0.250 0.250
Tl 0.500 0.500 0.500

## iii
The following is a PBE-GGA calculation of a relaxed structure of EuTlIn2, from Alexandria.

Its density of states at the Fermi level is 1.93 states/eV per atom. The symmetry is No. 123.

Lattice parameters (Å, degrees): 4.829 4.778 4.778 90.00 90.00 90.00
Fractional coordinates of all 4 atoms:
In 0.000 0.000 0.500
In 0.000 0.500 0.000
Tl 0.500 0.500 0.500
Eu 0.500 0.000 0.000

Of them, ii has the lowest stability.

## i
The following is a PBE-GGA calculation of a relaxed structure of EuTlIn, from Alexandria.

Its density of states at the Fermi level is 4.25 states/eV per atom. The symmetry is No. 216.

Lattice parameters (Å, degrees): 5.152 5.152 5.152 60.00 60.00 60.00
Fractional coordinates of all 3 atoms:
Eu 0.500 0.500 0.500
Tl 0.250 0.250 0.250
In 0.000 0.000 0.000

## ii
The following is a PBE-GGA calculation of a relaxed structure of EuTlIn, from Alexandria.

Its density of states at the Fermi level is 2.68 states/eV per atom. The symmetry is No. 156.

Lattice parameters (Å, degrees): 3.815 5.173 5.173 120.00 90.00 90.00
Fractional coordinates of all 3 atoms:
Tl 0.237 0.333 0.667
Eu 0.659 0.667 0.333
In 0.104 0.000 0.000

## iii
The following is a PBE-GGA calculation of a relaxed structure of EuTlIn, from Alexandria.

Its density of states at the Fermi level is 1.23 states/eV per atom. The symmetry is No. 107.

Lattice parameters (Å, degrees): 3.754 3.754 6.825 105.96 105.96 90.00
Fractional coordinates of all 3 atoms:
Tl 0.274 0.274 0.547
In 0.626 0.626 0.251
Eu 0.951 0.951 0.901

Of them, i has the lowest stability.

## i
The following is a PBE-GGA calculation of a relaxed structure of EuTmIn, from Alexandria.

Its density of states at the Fermi level is 0.69 states/eV per atom. The symmetry is No. 156.

Lattice parameters (Å, degrees): 3.614 5.370 5.370 120.00 90.00 90.00
Fractional coordinates of all 3 atoms:
Tm 0.916 0.000 0.000
Eu 0.351 0.333 0.667
In 0.733 0.667 0.333

## ii
The following is a PBE-GGA calculation of a relaxed structure of EuTmIn, from Alexandria.

Its density of states at the Fermi level is 1.12 states/eV per atom. The symmetry is No. 107.

Lattice parameters (Å, degrees): 3.706 3.706 7.217 104.88 104.88 90.00
Fractional coordinates of all 3 atoms:
Eu 0.962 0.962 0.924
Tm 0.262 0.262 0.524
In 0.626 0.626 0.252

Of them, i has the lowest stability.